Record 1
Below is a geometry-optimized Pr4AgSn2 structure, with properties calculated at the PBE level.

Cell: 6.0265 6.7402 10.7257 Å, 90.00 102.03 90.00°
Last column: nearest neighbours and their distance in Å.
Fractional positions:
Pr 0.1594 0.2500 0.1076  3 Ag 3.13-3.47, 3 Sn 3.19-3.36
Pr 0.2552 0.7500 0.4493  1 Ag 2.89
Pr 0.3049 0.0124 0.7369  3 Pr 3.20-3.54, 1 Ag 3.30, 2 Sn 3.33-3.38
Pr 0.3049 0.4876 0.7369  3 Pr 3.20-3.54, 1 Ag 3.30, 2 Sn 3.33-3.38
Pr 0.6951 0.5124 0.2631  3 Pr 3.20-3.54, 1 Ag 3.30, 2 Sn 3.33-3.38
Pr 0.6951 0.9876 0.2631  3 Pr 3.20-3.54, 1 Ag 3.30, 2 Sn 3.33-3.38
Pr 0.7448 0.2500 0.5507  1 Ag 2.89
Pr 0.8406 0.7500 0.8924  3 Ag 3.13-3.47, 3 Sn 3.19-3.36
Ag 0.1151 0.7500 0.1747  1 Sn 2.71, 1 Pr 2.89
Ag 0.8849 0.2500 0.8253  1 Sn 2.71, 1 Pr 2.89
Sn 0.2033 0.2500 0.4250  9 Pr 3.26-3.65
Sn 0.3921 0.7500 0.0056  1 Ag 2.71
Sn 0.6079 0.2500 0.9944  1 Ag 2.71
Sn 0.7967 0.7500 0.5750  9 Pr 3.26-3.65

Output
Space group: P2_1/m (11)
Final energy, eV for the cell shown: -65.86

Record 2
Below is a geometry-optimized Li5Ac2Zn4 structure, with properties calculated at the PBE level.

Cell: 9.8574 9.1524 5.5750 Å, 80.02 66.13 33.85°
Last column: nearest neighbours and their distance in Å.
Fractional positions:
Li 0.0000 0.0000 0.0000  4 Zn 2.67, 4 Li 2.79
Li 0.0000 0.0000 0.5000  4 Li 2.79-2.97, 4 Zn 2.87
Li 0.2500 0.2500 0.2500  4 Zn 2.72, 2 Li 2.97
Li 0.5000 0.5000 0.0000  4 Li 2.79-2.97, 4 Zn 2.87
Li 0.7500 0.7500 0.7500  4 Zn 2.72, 2 Li 2.97
Ac 0.3592 0.3592 0.6408  6 Zn 3.30-3.31, 4 Li 3.37
Ac 0.6408 0.6408 0.3592  6 Zn 3.30-3.31, 4 Li 3.37
Zn 0.0194 0.7194 0.2806  5 Li 2.67-2.87, 1 Zn 2.83
Zn 0.2806 0.9806 0.0194  5 Li 2.67-2.87, 1 Zn 2.83
Zn 0.7194 0.0194 0.9806  5 Li 2.67-2.87, 1 Zn 2.83
Zn 0.9806 0.2806 0.7194  5 Li 2.67-2.87, 1 Zn 2.83

Output
Space group: Fmmm (69)
Final energy, eV for the cell shown: -24.28
Polymorph energy (0 for the lowest one), eV per atom: 0.000

| no. | formation energy (eV/atom) |
| --- | --- |
| 1 | -0.42 |
| 2 | -0.13 |